! Cr2CuTeO GGA+U optimized geometry; values from VASP
&SYSTEM
  ibrav = 0, nat = 5, ntyp = 4
/
ATOMIC_SPECIES
Cu 63.55 Cu.upf
Te 127.60 Te.upf
Cr 52.00 Cr.upf
O 16.00 O.upf
ATOMIC_POSITIONS angstrom
Cu 0.0000 0.0000 0.0000
Te 0.0000 2.3229 0.0000
Cr 2.5059 0.0000 0.0000
Cr 0.0000 0.0000 2.5059
O 2.5059 2.3229 2.5059
CELL_PARAMETERS angstrom
5.0118 0.0000 0.0000
0.0000 4.6457 0.0000
0.0000 0.0000 5.0118
! Uncorrected energy in eV/atom: -4.601
! DOS(E_F) in states/eV per atom: 0.63